[1]
Below is crystalline RbHgGe at its relaxed geometry, with properties calculated at the PBE level.

Properties
N(E_F), states/eV per atom: 0.286
E, eV/atom: -2.067
Energy relative to the elements, meV/atom: -105
SG: Imm2
Magnetization, μB per formula unit: 0.0

The structure in CIF format:
```
data_RbHgGe
_cell_length_a 5.0662
_cell_length_b 8.4289
_cell_length_c 8.5486
_cell_angle_alpha 90.00
_cell_angle_beta 90.00
_cell_angle_gamma 90.00
_symmetry_space_group_name_H-M 'P 1'
_symmetry_Int_Tables_number 1
loop_
_symmetry_equiv_pos_as_xyz
'x,y,z'
loop_
_atom_site_label
_atom_site_type_symbol
_atom_site_fract_x
_atom_site_fract_y
_atom_site_fract_z
Hg1 Hg 0.5000 0.3009 0.7370
Rb1 Rb 0.0000 0.5000 0.5147
Ge1 Ge 0.0000 0.3437 0.9036
Rb2 Rb 0.0000 0.0000 0.6433
Rb3 Rb 0.5000 0.5000 0.1433
Ge2 Ge 0.5000 0.8437 0.4036
Hg2 Hg 0.0000 0.8009 0.2370
Ge3 Ge 0.5000 0.1563 0.4036
Hg3 Hg 0.5000 0.6991 0.7370
Ge4 Ge 0.0000 0.6563 0.9036
Rb4 Rb 0.5000 0.0000 0.0147
Hg4 Hg 0.0000 0.1991 0.2370
```

=====

[2]
Below is crystalline RbHgGe at its relaxed geometry, with properties calculated at the PBE level.

Properties
N(E_F), states/eV per atom: 0.047
E, eV/atom: -2.080
Energy relative to the elements, meV/atom: -118
SG: C2/m
Magnetization, μB per formula unit: 0.0

The structure in CIF format:
```
data_RbHgGe
_cell_length_a 8.1995
_cell_length_b 7.3918
_cell_length_c 8.6122
_cell_angle_alpha 90.00
_cell_angle_beta 118.71
_cell_angle_gamma 90.00
_symmetry_space_group_name_H-M 'P 1'
_symmetry_Int_Tables_number 1
loop_
_symmetry_equiv_pos_as_xyz
'x,y,z'
loop_
_atom_site_label
_atom_site_type_symbol
_atom_site_fract_x
_atom_site_fract_y
_atom_site_fract_z
Rb1 Rb 0.3343 0.0000 0.6589
Hg1 Hg 0.0000 0.7500 0.2500
Ge1 Ge 0.1630 0.0000 0.1506
Rb2 Rb 0.6657 0.0000 0.3411
Hg2 Hg 0.0000 0.7500 0.7500
Ge2 Ge 0.1630 0.5000 0.6506
Ge3 Ge 0.8370 0.5000 0.3494
Hg3 Hg 0.0000 0.2500 0.7500
Rb3 Rb 0.6657 0.5000 0.8411
Hg4 Hg 0.0000 0.2500 0.2500
Ge4 Ge 0.8370 0.0000 0.8494
Rb4 Rb 0.3343 0.5000 0.1589
```

=====

[3]
Below is crystalline RbHgGe at its relaxed geometry, with properties calculated at the PBE level.

Properties
N(E_F), states/eV per atom: 0.093
E, eV/atom: -2.053
Energy relative to the elements, meV/atom: -91
SG: P1
Magnetization, μB per formula unit: 0.0

The structure in CIF format:
```
data_RbHgGe
_cell_length_a 5.8566
_cell_length_b 6.5905
_cell_length_c 6.7320
_cell_angle_alpha 118.32
_cell_angle_beta 106.84
_cell_angle_gamma 91.28
_symmetry_space_group_name_H-M 'P 1'
_symmetry_Int_Tables_number 1
loop_
_symmetry_equiv_pos_as_xyz
'x,y,z'
loop_
_atom_site_label
_atom_site_type_symbol
_atom_site_fract_x
_atom_site_fract_y
_atom_site_fract_z
Rb1 Rb 0.3289 0.9401 0.0736
Ge1 Ge 0.6600 0.4981 0.6192
Rb2 Rb 0.0286 0.5520 0.2848
Hg1 Hg 0.6662 0.9489 0.7182
Ge2 Ge 0.4691 0.3403 0.8096
Hg2 Hg 0.9760 0.1900 0.5548
```